Co3O2F4, relaxed, DFT PBE with a Hubbard U; E above lowest polymorph = 27 meV/atom; magnetic moment = 7.8 μB/f.u.; calculated density = 4.783 g cm⁻³; raw total energy = -5.19 eV per atom
1.0
3.4272 4.4217 -0.0306
-3.4272 4.4217 -0.0306
0.0000 2.3314 6.5079
Co F O
6 8 4
Direct
0.0000 0.0000 0.0000
0.6662 0.6662 0.8340
0.0000 0.0000 0.5000
0.3338 0.3338 0.1660
0.6533 0.6533 0.3265
0.3467 0.3467 0.6735
0.1176 0.1176 0.6973
0.0280 0.6402 0.6692
0.3039 0.6961 0.0000
0.6402 0.0280 0.6692
0.8824 0.8824 0.3027
0.6961 0.3039 0.0000
0.3598 0.9720 0.3308
0.9720 0.3598 0.3308
0.2405 0.2405 0.9642
0.7595 0.7595 0.0358
0.5684 0.5684 0.6276
0.4316 0.4316 0.3724